MgTaIrPt | Alexandria | PBE | optimized geometry; M_tot = 0.000 μB/cell; symmetry = No. 216; DFT formation energy = -0.56 eV/atom
1.0
-0.603 1.603 4.175
2.081 -1.961 3.492
3.372 2.136 2.106
Mg Ir Pt Ta
1 1 1 1
direct
0.000 0.000 0.000
0.750 0.750 0.750
0.250 0.250 0.250
0.500 0.500 0.500

CaEr4Zn5 | Alexandria | PBE | optimized geometry; M_tot = 0.000 μB/cell; symmetry = No. 123; DFT formation energy = -0.33 eV/atom
1.0
3.557 0.000 0.000
0.000 3.557 0.000
0.000 0.000 17.884
Ca Er Zn
1 4 5
direct
0.000 0.000 0.000
0.000 0.000 0.205
0.000 0.000 0.402
0.000 0.000 0.598
0.000 0.000 0.795
0.500 0.500 0.111
0.500 0.500 0.303
0.500 0.500 0.500
0.500 0.500 0.697
0.500 0.500 0.889

CuPd6Pt | Alexandria | PBE | optimized geometry; relative energy among the computed polymorphs = 0.0 kJ/mol of formula units; M_tot = 1.045 μB/cell; symmetry = No. 123; DFT formation energy = -0.04 eV/atom
1.0
3.921 0.000 0.000
0.000 3.921 0.000
0.000 0.000 7.847
Cu Pd Pt
1 6 1
direct
0.000 0.000 0.500
0.500 0.500 0.000
0.500 0.500 0.500
0.500 0.000 0.256
0.500 0.000 0.744
0.000 0.500 0.256
0.000 0.500 0.744
0.000 0.000 0.000

CsMg2Sn | Alexandria | PBE | optimized geometry; M_tot = 0.000 μB/cell; symmetry = No. 141; DFT formation energy = 0.11 eV/atom
1.0
6.266 0.000 0.000
0.000 6.266 0.000
3.133 3.133 9.560
Cs Mg Sn
2 4 2
direct
0.000 0.000 0.000
0.750 0.250 0.500
0.375 0.125 0.250
0.375 0.625 0.250
0.375 0.625 0.750
0.875 0.625 0.750
0.500 0.500 0.000
0.250 0.750 0.500

Question: Which of these has the highest M_tot?
Answer: CuPd6Pt

Question: Which value of M_tot does entry 3 give?
Answer: 1.045 μB/cell

Question: Which formula does entry 2 have?
Answer: CaEr4Zn5

Question: Among the records above, which one has the lowest DFT formation energy?
Answer: MgTaIrPt